Record 1
The following is a PBE calculation of NaSb2TeC after structural relaxation, from Alexandria.

Results
* raw formation energy: 2.04 eV/atom
* distance to the lowest polymorph of the same formula: 1320.6 meV per atom
* SG: P4/mmm (123)

Cell and atoms, written as extended XYZ:
```
5
Lattice="5.4144 0.0000 0.0000 0.0000 5.4144 0.0000 0.0000 0.0000 5.3791" Properties=species:S:1:pos:R:3 pbc="T T T"
Na 0.0000 0.0000 0.0000
Sb 0.0000 2.7072 0.0000
Sb 2.7072 0.0000 0.0000
Te 0.0000 0.0000 2.6895
C 2.7072 2.7072 2.6895
```



Record 2
The following is a PBE calculation of Na2ZnSbC after structural relaxation, from Alexandria.

Results
* raw formation energy: 0.51 eV/atom
* SG: P4/mmm (123)

Cell and atoms, written as extended XYZ:
```
5
Lattice="5.4782 0.0000 0.0000 0.0000 5.4782 0.0000 0.0000 0.0000 3.7094" Properties=species:S:1:pos:R:3 pbc="T T T"
Na 0.0000 2.7391 0.0000
Na 2.7391 0.0000 0.0000
Zn 0.0000 0.0000 1.8547
Sb 2.7391 2.7391 1.8547
C 0.0000 0.0000 0.0000
```



Record 3
The following is a PBE calculation of NaScC3 after structural relaxation, from Alexandria.

Results
* distance to the lowest polymorph of the same formula: 736.3 meV per atom
* SG: Pm-3m (221)

Cell and atoms, written as extended XYZ:
```
5
Lattice="4.2148 0.0000 0.0000 0.0000 4.2148 0.0000 0.0000 0.0000 4.2148" Properties=species:S:1:pos:R:3 pbc="T T T"
Na 0.0000 0.0000 0.0000
Sc 2.1074 2.1074 2.1074
C 0.0000 0.0000 2.1074
C 0.0000 2.1074 0.0000
C 2.1074 0.0000 0.0000
```